CsVSeO5 after structural relaxation. Source: Alexandria, functional GGA+U.

a = 7.995 Å, b = 8.151 Å, c = 9.636 Å
α = 86.60°, β = 90.00°, γ = 90.00°
Element x y z (fractional)
Cs: 0.989 0.878 0.397
Cs: 0.489 0.122 0.603
Cs: 0.255 0.402 0.134
Cs: 0.755 0.598 0.866
V: 0.297 0.584 0.728
V: 0.797 0.416 0.272
V: 0.433 0.921 0.231
V: 0.933 0.079 0.769
Se: 0.998 0.383 0.555
Se: 0.498 0.617 0.445
Se: 0.724 0.119 0.077
Se: 0.224 0.881 0.923
O: 0.891 0.557 0.169
O: 0.391 0.443 0.831
O: 0.158 0.692 0.868
O: 0.658 0.308 0.132
O: 0.925 0.254 0.299
O: 0.425 0.746 0.701
O: 0.859 0.506 0.456
O: 0.359 0.494 0.544
O: 0.063 0.530 0.667
O: 0.563 0.470 0.333
O: 0.328 0.068 0.303
O: 0.828 0.932 0.697
O: 0.122 0.094 0.690
O: 0.622 0.906 0.310
O: 0.527 0.026 0.056
O: 0.027 0.974 0.944
O: 0.271 0.822 0.093
O: 0.771 0.178 0.907
O: 0.350 0.719 0.336
O: 0.850 0.281 0.664

**Size of the total moment**: 0.0 μB per formula unit
**V**: 19.59 A^3/atom
**SG**: No. 4
**DOS at the Fermi energy**: 0.0 states/eV per cell
**Raw total energy**: -196.063 eV for the cell shown